Density functional theory data (PBE-GGA) for a geometry-optimized Pm3PtRh2 structure.

Summary:
For the energy above the most stable polymorph in this dataset, the calculation gives 0.4 kJ per mole of atoms. The total DFT energy (no corrections) is -39.95 eV/f.u. Its formation energy is -0.825 eV per atom. The calculation puts the size of the total moment at 0.00 μB/f.u.

a = 3.564 Å, b = 3.564 Å, c = 10.473 Å
α = 90.00°, β = 90.00°, γ = 90.00°
Atoms (fractional coordinates):
Pm 0.000 0.000 0.000
Pm 0.000 0.000 0.329
Pm 0.000 0.000 0.671
Pt 0.500 0.500 0.500
Rh 0.500 0.500 0.167
Rh 0.500 0.500 0.833

Density functional theory data (PBE-GGA) for a geometry-optimized Pm3PtRh8 structure.

Summary:
The total DFT energy (no corrections) is -84.93 eV/f.u. Its formation energy is -0.485 eV per atom. The calculation puts the size of the total moment at 0.00 μB/f.u.

a = 9.259 Å, b = 9.259 Å, c = 9.259 Å
α = 33.53°, β = 33.53°, γ = 33.53°
Atoms (fractional coordinates):
Pm 0.000 0.000 0.000
Pm 0.131 0.131 0.131
Pm 0.518 0.518 0.518
Pt 0.644 0.644 0.644
Rh 0.068 0.567 0.567
Rh 0.070 0.070 0.569
Rh 0.070 0.569 0.070
Rh 0.318 0.318 0.318
Rh 0.567 0.068 0.567
Rh 0.567 0.567 0.068
Rh 0.569 0.070 0.070
Rh 0.818 0.818 0.818

Density functional theory data (PBE-GGA) for a geometry-optimized Pm2Sb4Pt3Rh structure.

Summary:
The total DFT energy (no corrections) is -59.36 eV/f.u. As for the uncorrected formation energy: -0.790 eV per atom. The calculation puts the size of the total moment at 0.00 μB/f.u.

a = 4.573 Å, b = 4.573 Å, c = 10.829 Å
α = 90.00°, β = 90.00°, γ = 90.00°
Atoms (fractional coordinates):
Pm 0.000 0.500 0.229
Pm 0.500 0.000 0.771
Sb 0.000 0.000 0.500
Sb 0.000 0.500 0.873
Sb 0.500 0.000 0.127
Sb 0.500 0.500 0.500
Pt 0.000 0.000 0.000
Pt 0.000 0.500 0.633
Pt 0.500 0.000 0.367
Rh 0.500 0.500 0.000

Density functional theory data (PBE-GGA) for a geometry-optimized PmScPtRh structure.

Summary:
The total DFT energy (no corrections) is -28.18 eV/f.u. Its formation energy is -0.928 eV per atom. The calculation puts the size of the total moment at 0.00 μB/f.u.

a = 6.840 Å, b = 6.840 Å, c = 6.840 Å
α = 90.00°, β = 90.00°, γ = 90.00°
Atoms (fractional coordinates):
Pm 0.000 0.000 0.000
Pm 0.000 0.500 0.500
Pm 0.500 0.000 0.500
Pm 0.500 0.500 0.000
Sc 0.000 0.000 0.500
Sc 0.000 0.500 0.000
Sc 0.500 0.000 0.000
Sc 0.500 0.500 0.500
Pt 0.250 0.250 0.750
Pt 0.250 0.750 0.250
Pt 0.750 0.250 0.250
Pt 0.750 0.750 0.750
Rh 0.250 0.250 0.250
Rh 0.250 0.750 0.750
Rh 0.750 0.250 0.750
Rh 0.750 0.750 0.250

Density functional theory data (PBE-GGA) for a geometry-optimized PmSi2PtRh structure.

Summary:
The total DFT energy (no corrections) is -34.38 eV/f.u. As for the uncorrected formation energy: -1.079 eV per atom. The calculation puts the size of the total moment at 0.00 μB/f.u.

a = 4.083 Å, b = 4.083 Å, c = 10.287 Å
α = 90.00°, β = 90.00°, γ = 90.00°
Atoms (fractional coordinates):
Pm 0.000 0.000 0.000
Pm 0.500 0.500 0.500
Si 0.000 0.000 0.384
Si 0.000 0.000 0.616
Si 0.500 0.500 0.116
Si 0.500 0.500 0.884
Pt 0.000 0.500 0.750
Pt 0.500 0.000 0.250
Rh 0.000 0.500 0.250
Rh 0.500 0.000 0.750

Density functional theory data (PBE-GGA) for a geometry-optimized PmSi2PtRh2 structure.

Summary:
The total DFT energy (no corrections) is -38.66 eV/f.u. As for the uncorrected formation energy: -0.386 eV per atom. The calculation puts the size of the total moment at 0.00 μB/f.u.

a = 4.522 Å, b = 4.522 Å, c = 5.617 Å
α = 90.00°, β = 90.00°, γ = 90.00°
Atoms (fractional coordinates):
Pm 0.000 0.000 0.000
Si 0.000 0.500 0.500
Si 0.500 0.000 0.500
Pt 0.000 0.000 0.500
Rh 0.500 0.500 0.251
Rh 0.500 0.500 0.749

Density functional theory data (PBE-GGA) for a geometry-optimized Pm3Si6Pt2Rh structure.

Summary:
The total DFT energy (no corrections) is -72.74 eV/f.u. As for the uncorrected formation energy: -0.543 eV per atom. The calculation puts the size of the total moment at 0.00 μB/f.u.

a = 5.831 Å, b = 5.831 Å, c = 7.896 Å
α = 90.00°, β = 90.00°, γ = 120.00°
Atoms (fractional coordinates):
Pm 0.000 0.000 0.000
Pm 0.333 0.667 0.655
Pm 0.667 0.333 0.345
Si 0.194 0.388 0.307
Si 0.194 0.806 0.307
Si 0.388 0.194 0.693
Si 0.612 0.806 0.307
Si 0.806 0.194 0.693
Si 0.806 0.612 0.693
Pt 0.333 0.667 0.050
Pt 0.667 0.333 0.950
Rh 0.000 0.000 0.500

Density functional theory data (PBE-GGA) for a geometry-optimized PmSi2Pt2Rh structure.

Summary:
The total DFT energy (no corrections) is -40.94 eV/f.u. As for the uncorrected formation energy: -0.984 eV per atom. The calculation puts the size of the total moment at 0.00 μB/f.u.

a = 4.188 Å, b = 4.188 Å, c = 6.877 Å
α = 90.00°, β = 90.00°, γ = 120.00°
Atoms (fractional coordinates):
Pm 0.000 0.000 0.000
Si 0.333 0.667 0.331
Si 0.667 0.333 0.669
Pt 0.333 0.667 0.710
Pt 0.667 0.333 0.290
Rh 0.000 0.000 0.500

Density functional theory data (PBE-GGA) for a geometry-optimized Pm2Si3Pt12Rh structure.

Summary:
The total DFT energy (no corrections) is -112.73 eV/f.u. As for the uncorrected formation energy: -0.396 eV per atom. The calculation puts the size of the total moment at 0.00 μB/f.u.

a = 7.721 Å, b = 7.721 Å, c = 7.721 Å
α = 64.24°, β = 64.24°, γ = 64.24°
Atoms (fractional coordinates):
Pm 0.112 0.112 0.112
Pm 0.888 0.888 0.888
Si 0.000 0.500 0.500
Si 0.500 0.000 0.500
Si 0.500 0.500 0.000
Pt 0.119 0.631 0.631
Pt 0.145 0.145 0.602
Pt 0.145 0.602 0.145
Pt 0.369 0.369 0.881
Pt 0.369 0.881 0.369
Pt 0.398 0.855 0.855
Pt 0.602 0.145 0.145
Pt 0.631 0.119 0.631
Pt 0.631 0.631 0.119
Pt 0.855 0.398 0.855
Pt 0.855 0.855 0.398
Pt 0.881 0.369 0.369
Rh 0.500 0.500 0.500

Density functional theory data (PBE-GGA) for a geometry-optimized Pm2Si4Pt3Rh structure.

Summary:
The total DFT energy (no corrections) is -67.88 eV/f.u. As for the uncorrected formation energy: -1.122 eV per atom. The calculation puts the size of the total moment at 0.00 μB/f.u.

a = 4.205 Å, b = 4.205 Å, c = 9.968 Å
α = 90.00°, β = 90.00°, γ = 90.00°
Atoms (fractional coordinates):
Pm 0.000 0.500 0.245
Pm 0.500 0.000 0.755
Si 0.000 0.000 0.000
Si 0.000 0.500 0.631
Si 0.500 0.000 0.369
Si 0.500 0.500 0.000
Pt 0.000 0.500 0.876
Pt 0.500 0.000 0.124
Pt 0.500 0.500 0.500
Rh 0.000 0.000 0.500

Density functional theory data (PBE-GGA) for a geometry-optimized PmSmPtRh structure.

Summary:
For the energy above the most stable polymorph in this dataset, the calculation gives 6.2 kJ per mole of atoms. The total DFT energy (no corrections) is -26.47 eV/f.u. Its formation energy is -0.901 eV per atom. The calculation puts the size of the total moment at 0.00 μB/f.u.

a = 7.087 Å, b = 7.087 Å, c = 7.087 Å
α = 90.00°, β = 90.00°, γ = 90.00°
Atoms (fractional coordinates):
Pm 0.000 0.000 0.000
Pm 0.000 0.500 0.500
Pm 0.500 0.000 0.500
Pm 0.500 0.500 0.000
Sm 0.000 0.000 0.500
Sm 0.000 0.500 0.000
Sm 0.500 0.000 0.000
Sm 0.500 0.500 0.500
Pt 0.250 0.250 0.250
Pt 0.250 0.750 0.750
Pt 0.750 0.250 0.750
Pt 0.750 0.750 0.250
Rh 0.250 0.250 0.750
Rh 0.250 0.750 0.250
Rh 0.750 0.250 0.250
Rh 0.750 0.750 0.750

Density functional theory data (PBE-GGA) for a geometry-optimized PmSmPtRh structure.

Summary:
For the energy above the most stable polymorph in this dataset, the calculation gives 0.0 kJ per mole of atoms. The total DFT energy (no corrections) is -26.72 eV/f.u. Its formation energy is -0.965 eV per atom. The calculation puts the size of the total moment at 0.00 μB/f.u.

a = 4.395 Å, b = 3.890 Å, c = 10.827 Å
α = 90.00°, β = 90.00°, γ = 90.00°
Atoms (fractional coordinates):
Pm 0.000 0.000 0.000
Pm 0.000 0.500 0.500
Sm 0.500 0.000 0.280
Sm 0.500 0.500 0.780
Pt 0.500 0.000 0.557
Pt 0.500 0.500 0.057
Rh 0.000 0.000 0.732
Rh 0.000 0.500 0.232

Going through the records in order, we get calculated volume values of 22.2; 18.0; 22.6; 20.0; 17.2; 19.1; 19.4; 17.4; 19.8; 17.6; 22.2; 23.1 Å³/atom.